Entry 1:
The following is a DFT calculation (PBEsol) of ScBPt2Au after structural relaxation.

Unit cell a=4.2270 b=4.2270 c=4.3195 alpha=90.00 beta=90.00 gamma=90.00
Last column: nearest neighbours and their distance in Å.
Fractional positions:
1 Sc 0.0000 0.0000 0.0000  4 Au 2.99, 8 Pt 3.02
2 B 0.5000 0.5000 0.5000  4 Pt 2.11, 2 Au 2.16
3 Pt 0.0000 0.5000 0.5000  2 B 2.11
4 Pt 0.5000 0.0000 0.5000  2 B 2.11
5 Au 0.5000 0.5000 0.0000  2 B 2.16

Output
Uncorrected energy = -33.7 eV/cell
E_form = -442 meV per atom
Fermi-level density of states = 3.93 states/eV/cell


Entry 2:
The following is a DFT calculation (PBEsol) of BRh3Au after structural relaxation.

Unit cell a=4.0560 b=4.0560 c=4.0560 alpha=90.00 beta=90.00 gamma=90.00
Last column: nearest neighbours and their distance in Å.
Fractional positions:
1 B 0.0000 0.0000 0.0000  6 Rh 2.03
2 Rh 0.0000 0.0000 0.5000  2 B 2.03
3 Rh 0.0000 0.5000 0.0000  2 B 2.03
4 Rh 0.5000 0.0000 0.0000  2 B 2.03
5 Au 0.5000 0.5000 0.5000  12 Rh 2.87

Output
Uncorrected energy = -35.0 eV/cell
E_form = 61 meV per atom
Fermi-level density of states = 7.67 states/eV/cell


Entry 3:
The following is a DFT calculation (PBEsol) of Sn2BRhAu after structural relaxation.

Unit cell a=4.6788 b=4.6788 c=4.1439 alpha=90.00 beta=90.00 gamma=90.00
Last column: nearest neighbours and their distance in Å.
Fractional positions:
1 Sn 0.0000 0.5000 0.0000  2 B 2.34
2 Sn 0.5000 0.0000 0.0000  2 B 2.34
3 B 0.0000 0.0000 0.0000  2 Au 2.07
4 Rh 0.5000 0.5000 0.5000  8 Sn 3.13, 4 Au 3.31
5 Au 0.0000 0.0000 0.5000  2 B 2.07

Output
Uncorrected energy = -24.6 eV/cell
E_form = 597 meV per atom
Fermi-level density of states = 2.60 states/eV/cell